## Rb2ZnFeRu (PBE)

Data for a relaxed Rb2ZnFeRu crystal. Values from VASP.

theoretical density	3.40	Mg/m³
symmetry	P4/mmm
formation enthalpy at 0 K	1.60	eV per atom
calculated volume	38.4	A^3/atom
N(E_F)	11.912	states/eV per cell

Quantum ESPRESSO input file:
```
&SYSTEM
  ibrav = 0, nat = 5, ntyp = 4
/
ATOMIC_SPECIES
Rb 85.47 Rb.upf
Zn 65.41 Zn.upf
Fe 55.84 Fe.upf
Ru 101.07 Ru.upf
ATOMIC_POSITIONS angstrom
Rb 0.000 3.187 0.000
Rb 3.187 0.000 0.000
Zn 0.000 0.000 2.365
Fe 0.000 0.000 0.000
Ru 3.187 3.187 2.365
CELL_PARAMETERS angstrom
6.375 0.000 0.000
0.000 6.375 0.000
0.000 0.000 4.729
```

## TlAgSb (PBE)

Data for a relaxed TlAgSb crystal. Values from VASP.

theoretical density	8.25	Mg/m³
symmetry	P4_2/m
calculated volume	29.1	A^3/atom
N(E_F)	4.654	states/eV per cell
relative energy among the computed polymorphs	7.5	meV/atom

Quantum ESPRESSO input file:
```
&SYSTEM
  ibrav = 0, nat = 12, ntyp = 3
/
ATOMIC_SPECIES
Tl 204.38 Tl.upf
Ag 107.87 Ag.upf
Sb 121.76 Sb.upf
ATOMIC_POSITIONS angstrom
Tl 0.601 2.302 0.000
Tl 2.302 8.010 2.357
Tl 6.309 0.601 2.357
Tl 8.010 6.309 0.000
Ag 2.975 4.918 0.000
Ag 3.693 2.975 2.357
Ag 4.918 5.636 2.357
Ag 5.636 3.693 0.000
Sb 1.420 4.780 2.357
Sb 3.831 1.420 0.000
Sb 4.780 7.191 0.000
Sb 7.191 3.831 2.357
CELL_PARAMETERS angstrom
8.611 0.000 0.000
0.000 8.611 0.000
0.000 0.000 4.714
```

## CaCeAgGe (PBE)

Data for a relaxed CaCeAgGe crystal. Values from VASP.

theoretical density	6.01	Mg/m³
symmetry	F-43m
formation enthalpy at 0 K	-0.45	eV per atom
calculated volume	24.9	A^3/atom
N(E_F)	7.959	states/eV per cell

Quantum ESPRESSO input file:
```
&SYSTEM
  ibrav = 0, nat = 4, ntyp = 4
/
ATOMIC_SPECIES
Ca 40.08 Ca.upf
Ce 140.12 Ce.upf
Ag 107.87 Ag.upf
Ge 72.64 Ge.upf
ATOMIC_POSITIONS angstrom
Ca 0.000 0.000 0.000
Ce 3.679 3.679 3.679
Ag 1.839 1.839 1.839
Ge 5.518 5.518 5.518
CELL_PARAMETERS angstrom
0.000 3.679 3.679
3.679 0.000 3.679
3.679 3.679 0.000
```

## ZnCd2Pd (PBE)

Data for a relaxed ZnCd2Pd crystal. Values from VASP.

theoretical density	8.67	Mg/m³
symmetry	R-3m
formation enthalpy at 0 K	0.09	eV per atom
calculated volume	19.0	A^3/atom
N(E_F)	1.360	states/eV per cell

Quantum ESPRESSO input file:
```
&SYSTEM
  ibrav = 0, nat = 4, ntyp = 3
/
ATOMIC_SPECIES
Zn 65.41 Zn.upf
Cd 112.41 Cd.upf
Pd 106.42 Pd.upf
ATOMIC_POSITIONS angstrom
Zn 0.000 0.000 0.000
Cd 0.000 0.000 12.782
Cd 0.000 0.000 18.166
Pd 0.000 0.000 15.474
CELL_PARAMETERS angstrom
1.458 0.842 10.316
-1.458 0.842 10.316
0.000 -1.684 10.316
```

## Ce2PmAl9 (PBE)

Data for a relaxed Ce2PmAl9 crystal. Values from VASP.

theoretical density	4.58	Mg/m³
symmetry	R-3m
formation enthalpy at 0 K	-0.36	eV per atom
calculated volume	20.2	A^3/atom
N(E_F)	12.379	states/eV per cell

Quantum ESPRESSO input file:
```
&SYSTEM
  ibrav = 0, nat = 12, ntyp = 3
/
ATOMIC_SPECIES
Ce 140.12 Ce.upf
Pm 145.00 Pm.upf
Al 26.98 Al.upf
ATOMIC_POSITIONS angstrom
Ce 0.000 0.000 3.821
Ce 0.000 0.000 22.792
Pm 0.000 0.000 0.000
Al -1.432 -0.827 11.075
Al 0.000 0.000 8.920
Al 0.000 -1.653 15.538
Al -1.432 0.827 15.538
Al 0.000 0.000 13.306
Al 1.432 -0.827 11.075
Al 0.000 1.653 11.075
Al 0.000 0.000 17.693
Al 1.432 0.827 15.538
CELL_PARAMETERS angstrom
2.809 1.622 8.871
-2.809 1.622 8.871
0.000 -3.244 8.871
```

## Cs2RbIrCl (PBE)

Data for a relaxed Cs2RbIrCl crystal. Values from VASP.

energy	-0.1020	hartree per atom
theoretical density	4.10	Mg/m³
symmetry	P4/mmm
calculated volume	46.9	A^3/atom
N(E_F)	1.468	states/eV per cell

Quantum ESPRESSO input file:
```
&SYSTEM
  ibrav = 0, nat = 5, ntyp = 4
/
ATOMIC_SPECIES
Cs 132.91 Cs.upf
Rb 85.47 Rb.upf
Ir 192.22 Ir.upf
Cl 35.45 Cl.upf
ATOMIC_POSITIONS angstrom
Cs 0.000 3.001 0.000
Cs 3.001 0.000 0.000
Rb 0.000 0.000 3.252
Ir 0.000 0.000 0.000
Cl 3.001 3.001 3.252
CELL_PARAMETERS angstrom
6.002 0.000 0.000
0.000 6.002 0.000
0.000 0.000 6.504
```